Record 1
A geometry-optimized SrZnP2S8 structure, computed with PBE-GGA.

extended XYZ file:
```
12
Lattice="5.793 0.000 0.000 -2.897 5.017 0.000 0.000 0.000 9.025" Properties=species:S:1:pos:R:3 pbc="T T T"
Sr 0.000 0.000 0.000
Zn 0.000 0.000 4.512
P 0.000 3.345 6.773
P 2.897 1.672 2.252
S -1.918 3.392 2.844
S 0.918 1.660 2.844
S 1.897 0.035 6.180
S 0.000 3.345 8.806
S 2.897 1.672 0.219
S 1.000 4.982 2.844
S 1.978 3.357 6.180
S 4.815 1.625 6.180
```

## Properties
The magnetization comes out at 1.60 μB per formula unit. The formation energy (no corrections) is -40.9 kJ/mol of atoms.



Record 2
A geometry-optimized Cs2ErCd3F12 structure, computed with PBE-GGA.

extended XYZ file:
```
18
Lattice="4.004 2.312 6.765 -4.004 2.312 6.765 0.000 -4.623 6.765" Properties=species:S:1:pos:R:3 pbc="T T T"
Cs 0.000 0.000 2.390
Cs 0.000 0.000 17.904
Er 0.000 0.000 10.147
Cd -2.002 -1.156 6.765
Cd -2.002 1.156 13.530
Cd 0.000 2.312 6.765
F 0.000 -1.884 6.273
F -1.632 0.942 6.273
F -1.566 -0.904 8.967
F -1.632 -0.942 14.021
F 0.000 -1.808 11.327
F -1.566 0.904 11.327
F 1.566 -0.904 8.967
F 0.000 1.808 8.967
F 1.632 0.942 6.273
F 1.566 0.904 11.327
F 1.632 -0.942 14.021
F 0.000 1.884 14.021
```

## Properties
The magnetization comes out at 0.00 μB per formula unit. The formation energy (no corrections) is -255.5 kJ/mol of atoms.



Record 3
A geometry-optimized LiNb2Sn2 structure, computed with PBE-GGA.

extended XYZ file:
```
10
Lattice="7.340 0.000 0.000 0.000 7.340 0.000 0.000 0.000 3.788" Properties=species:S:1:pos:R:3 pbc="T T T"
Li 0.000 0.000 0.000
Li 3.670 3.670 0.000
Nb 1.081 2.589 1.894
Nb 2.589 6.259 1.894
Nb 4.751 1.081 1.894
Nb 6.259 4.751 1.894
Sn 1.098 4.768 0.000
Sn 2.572 1.098 0.000
Sn 4.768 6.242 0.000
Sn 6.242 2.572 0.000
```

## Properties
The energy of formation from the pure elements comes out at 0.04 eV per atom. The calculation puts the excess energy over the best structure of this formula in the dataset at 0.14 eV/f.u. The magnetization comes out at 0.00 μB per formula unit.



Record 4
A geometry-optimized Pm8Ir5Au structure, computed with PBE-GGA.

extended XYZ file:
```
14
Lattice="-4.456 4.456 4.417 4.456 -4.456 4.417 4.456 4.456 -4.417" Properties=species:S:1:pos:R:3 pbc="T T T"
Pm 1.594 -0.589 1.628
Pm 3.914 1.712 -0.616
Pm 2.862 5.044 -2.789
Pm 2.743 -0.542 5.033
Pm 1.712 4.998 0.616
Pm 3.867 2.862 2.789
Pm 0.542 2.743 3.802
Pm 0.589 1.594 7.206
Ir 6.712 1.161 -1.089
Ir 1.161 2.199 1.089
Ir 0.000 0.000 4.417
Ir -2.257 3.295 3.329
Ir 3.295 2.257 5.506
Au 4.456 0.000 2.209
```

## Properties
The energy of formation from the pure elements comes out at -0.66 eV per atom. The magnetization comes out at 0.00 μB per formula unit.



Record 5
A geometry-optimized La5Sm4Mg structure, computed with PBE-GGA.

extended XYZ file:
```
10
Lattice="3.732 0.000 0.000 0.000 3.732 0.000 0.000 0.000 24.918" Properties=species:S:1:pos:R:3 pbc="T T T"
La 0.000 0.000 0.000
La 0.000 0.000 5.128
La 0.000 0.000 10.238
La 0.000 0.000 14.680
La 0.000 0.000 19.790
Sm 1.866 1.866 2.563
Sm 1.866 1.866 7.686
Sm 1.866 1.866 17.233
Sm 1.866 1.866 22.355
Mg 1.866 1.866 12.459
```

## Properties
The energy of formation from the pure elements comes out at 0.00 eV per atom. The magnetization comes out at 0.00 μB per formula unit.



Record 6
A geometry-optimized Pm2PrCd structure, computed with PBE-GGA.

extended XYZ file:
```
4
Lattice="3.741 0.000 0.000 0.000 3.741 0.000 0.000 0.000 9.059" Properties=species:S:1:pos:R:3 pbc="T T T"
Pm 0.000 0.000 2.003
Pm 0.000 0.000 7.056
Pr 1.871 1.871 4.529
Cd 1.871 1.871 0.000
```

## Properties
The energy of formation from the pure elements comes out at -0.15 eV per atom. The calculation puts the excess energy over the best structure of this formula in the dataset at 0.00 eV/f.u. The magnetization comes out at 0.00 μB per formula unit.



Record 7
A geometry-optimized NaMg2Tl5Pb structure, computed with PBE-GGA.

extended XYZ file:
```
18
Lattice="1.808 -8.453 0.000 1.808 8.453 0.000 0.000 0.000 16.834" Properties=species:S:1:pos:R:3 pbc="T T T"
Na 1.808 7.605 8.417
Na 1.808 -7.605 0.000
Mg 1.808 2.283 8.274
Mg 1.808 1.305 13.507
Mg 1.808 -1.305 5.090
Mg 1.808 -2.283 16.691
Tl 1.808 7.170 14.320
Tl 1.808 6.782 2.405
Tl 1.808 4.830 6.351
Tl 1.808 4.421 12.074
Tl 1.808 1.139 2.984
Tl 1.808 -1.139 11.402
Tl 1.808 -4.421 3.656
Tl 1.808 -4.830 14.768
Tl 1.808 -6.782 10.823
Tl 1.808 -7.170 5.902
Pb 1.808 3.698 0.803
Pb 1.808 -3.698 9.220
```

## Properties
The energy of formation from the pure elements comes out at -0.01 eV per atom. The magnetization comes out at 0.00 μB per formula unit.



Record 8
A geometry-optimized Tl2BiB structure, computed with PBE-GGA.

extended XYZ file:
```
4
Lattice="0.000 3.748 3.748 3.748 0.000 3.748 3.748 3.748 0.000" Properties=species:S:1:pos:R:3 pbc="T T T"
Tl 1.874 1.874 1.874
Tl 5.622 5.622 5.622
Bi 0.000 0.000 0.000
B 3.748 3.748 3.748
```

## Properties
The energy of formation from the pure elements comes out at 1.03 eV per atom. The calculation puts the excess energy over the best structure of this formula in the dataset at 1.06 eV/f.u. The magnetization comes out at 0.00 μB per formula unit.



Record 9
A geometry-optimized CeHoIr2 structure, computed with PBE-GGA.

extended XYZ file:
```
4
Lattice="4.178 0.000 0.000 0.000 1.927 5.361 0.000 -1.927 5.361" Properties=species:S:1:pos:R:3 pbc="T T T"
Ce 0.000 0.000 0.000
Ho 2.089 0.000 7.679
Ir 0.000 0.000 2.845
Ir 2.089 0.000 4.775
```

## Properties
The energy of formation from the pure elements comes out at -0.82 eV per atom. The magnetization comes out at 0.00 μB per formula unit.



Record 10
A geometry-optimized HoReAs structure, computed with PBE-GGA.

extended XYZ file:
```
6
Lattice="4.024 0.000 0.000 0.000 4.024 0.000 0.000 0.000 7.126" Properties=species:S:1:pos:R:3 pbc="T T T"
Ho 1.006 1.006 1.169
Ho 3.018 3.018 5.957
Re 1.006 3.018 3.563
Re 3.018 1.006 3.563
As 1.006 1.006 5.220
As 3.018 3.018 1.906
```

## Properties
The energy of formation from the pure elements comes out at -0.47 eV per atom. The magnetization comes out at 0.00 μB per formula unit.



Record 11
A geometry-optimized SmNbGa4 structure, computed with PBE-GGA.

extended XYZ file:
```
6
Lattice="0.000 3.788 3.788 3.788 0.000 3.788 3.788 3.788 0.000" Properties=species:S:1:pos:R:3 pbc="T T T"
Sm 0.000 0.000 0.000
Nb 1.894 1.894 1.894
Ga 4.729 2.846 2.846
Ga 2.846 4.729 2.846
Ga 2.846 2.846 4.729
Ga 4.729 4.729 4.729
```

## Properties
The energy of formation from the pure elements comes out at -0.32 eV per atom. The magnetization comes out at 0.00 μB per formula unit.



Record 12
A geometry-optimized FeRh2W structure, computed with PBE-GGA.

extended XYZ file:
```
4
Lattice="0.000 3.066 3.066 3.066 0.000 3.066 3.066 3.066 0.000" Properties=species:S:1:pos:R:3 pbc="T T T"
Fe 0.000 0.000 0.000
Rh 1.533 1.533 1.533
Rh 4.599 4.599 4.599
W 3.066 3.066 3.066
```

## Properties
The energy of formation from the pure elements comes out at 0.12 eV per atom. The calculation puts the excess energy over the best structure of this formula in the dataset at 1.11 eV/f.u. The magnetization comes out at 2.41 μB per formula unit.